VASP calculation (PBE-GGA) on a relaxed AlHgIr2 crystal.

Geometry as POSCAR:
```
AlHgIr2
1.0
-1.6929 2.0297 -3.6076
-3.9538 0.3538 2.0599
0.8645 2.8118 1.1763
Ir Al Hg
2 1 1
Cartesian
0.0000 0.0000 0.0000
-2.8233 1.1918 -0.7739
-0.4142 2.4208 -1.2156
-1.5446 1.5828 1.6181
```

Computed properties:
**Formation energy**: 1 kJ per mole of atoms
**Energy above the lowest structure with this stoichiometry**: 0.2050 eV per atom

VASP calculation (PBE-GGA) on a relaxed Al2Hg2Ir crystal.

Geometry as POSCAR:
```
Al2Hg2Ir
1.0
3.6919 0.0000 0.0000
0.0000 3.6919 0.0000
1.8460 1.8460 7.1363
Ir Al Hg
1 2 2
Cartesian
0.0000 0.0000 0.0000
3.6919 1.8460 3.5681
1.8460 3.6919 3.5681
1.8460 1.8460 1.4051
3.6919 3.6919 5.7311
```

Computed properties:
**Formation energy**: 59 kJ per mole of atoms
**Energy above the lowest structure with this stoichiometry**: 0.1639 eV per atom

VASP calculation (PBE-GGA) on a relaxed AlHgIr2 crystal.

Geometry as POSCAR:
```
AlHgIr2
1.0
4.9581 0.0087 0.0379
4.0964 2.7933 0.0379
1.0262 0.3176 4.6644
Al Ir Hg
1 2 1
Cartesian
4.9228 1.5234 2.4870
7.6306 2.3614 3.5570
1.1047 0.3419 4.5377
2.4892 0.7703 1.1932
```

Computed properties:
**Formation energy**: 7 kJ per mole of atoms
**Energy above the lowest structure with this stoichiometry**: 0.2665 eV per atom

VASP calculation (PBE-GGA) on a relaxed Al2HgIr crystal.

Geometry as POSCAR:
```
Al2HgIr
1.0
-0.5252 7.0695 -5.0200
-1.6288 4.9805 -6.9279
-3.4579 6.2922 -4.8893
Al Hg Ir
2 1 1
Cartesian
-0.0527 0.1722 -0.1580
-2.7532 8.9989 -8.2605
-1.4029 4.5856 -4.2093
-4.2088 13.7567 -12.6278
```

Computed properties:
**Formation energy**: -22 kJ per mole of atoms

VASP calculation (PBE-GGA) on a relaxed AlHg2Ir crystal.

Geometry as POSCAR:
```
AlHg2Ir
1.0
2.9682 0.0000 0.0000
0.0000 3.5532 0.0000
0.0000 0.0000 7.2725
Hg Al Ir
2 1 1
Cartesian
1.4841 1.7766 2.0418
0.0000 0.0000 7.1020
1.4841 1.7766 4.9860
0.0000 0.0000 4.0514
```

Computed properties:
**Formation energy**: -4 kJ per mole of atoms

VASP calculation (PBE-GGA) on a relaxed AlHgIr2 crystal.

Geometry as POSCAR:
```
AlHgIr2
1.0
-3.6731 -7.2140 -4.0736
-4.3051 -7.8643 -1.3215
-6.0533 -6.1190 -2.8360
Ir Al Hg
2 1 1
Cartesian
-13.9512 -21.0759 -8.1839
-3.4598 -5.2266 -2.0295
-7.1238 -10.7619 -4.1789
-10.5441 -15.9288 -6.1853
```

Computed properties:
**Formation energy**: 11 kJ per mole of atoms
**Energy above the lowest structure with this stoichiometry**: 0.3130 eV per atom

VASP calculation (PBE-GGA) on a relaxed AlHgIr2 crystal.

Geometry as POSCAR:
```
AlHgIr2
1.0
-2.7572 -3.8997 1.0103
-0.5386 -4.8152 -0.5957
2.0535 -2.0440 4.0021
Ir Al Hg
2 1 1
Cartesian
1.9179 -2.2016 3.9046
-0.4856 -5.2219 2.3058
-0.9318 -8.0692 3.3125
-0.3106 -2.6897 1.1042
```

Computed properties:
**Formation energy**: -3 kJ per mole of atoms
**Energy above the lowest structure with this stoichiometry**: 0.1617 eV per atom

VASP calculation (PBE-GGA) on a relaxed AlHg2Ir crystal.

Geometry as POSCAR:
```
AlHg2Ir
1.0
-0.3961 -2.1357 2.0662
2.1456 2.0877 0.1570
-6.3981 6.1869 5.1685
Al Ir Hg
1 1 2
Cartesian
-3.9238 4.6162 4.9879
-0.7247 1.5228 2.4037
-3.1267 3.0235 2.5258
-0.0723 0.0699 0.0584
```

Computed properties:
**Formation energy**: 44 kJ per mole of atoms

What did the third record say?
VASP calculation (PBE-GGA) on a relaxed AlHgIr2 crystal.

Geometry as POSCAR:
```
AlHgIr2
1.0
4.9581 0.0087 0.0379
4.0964 2.7933 0.0379
1.0262 0.3176 4.6644
Al Ir Hg
1 2 1
Cartesian
4.9228 1.5234 2.4870
7.6306 2.3614 3.5570
1.1047 0.3419 4.5377
2.4892 0.7703 1.1932
```

Computed properties:
**Formation energy**: 7 kJ per mole of atoms
**Energy above the lowest structure with this stoichiometry**: 0.2665 eV per atom

Question: Look up the formation energy of the first one.
Answer: 1 kJ per mole of atoms

Question: The lowest formation energy belongs to which entry?
Answer: Al2HgIr

Question: Which of these has the lowest formation energy?
Answer: Al2HgIr